# 1
## LiTeRu2 (PBE)

Data for crystalline LiTeRu2 at its relaxed geometry.

Uncorrected formation energy ... 0.12 eV per atom

a = 4.2908 Å, b = 4.2908 Å, c = 3.2467 Å
α = 90.00°, β = 90.00°, γ = 90.00°
Closest atoms and distances in Å follow each position.
Space group P4/mmm (No. 123)
One atom of each set of equivalent atoms:
Li 0.0000 0.0000 0.0000 (multiplicity 1)  8 Ru 2.69
Te 0.5000 0.5000 0.0000 (multiplicity 1)  8 Ru 2.69
Ru 0.0000 0.5000 0.5000 (multiplicity 2)  4 Li 2.69, 4 Te 2.69

---

# 2
## Li2PPt (PBE)

Data for crystalline Li2PPt at its relaxed geometry.

Formation energy ... -286 kJ/mol of formula units

a = 4.0422 Å, b = 4.0422 Å, c = 12.6293 Å
α = 90.00°, β = 90.00°, γ = 120.00°
Closest atoms and distances in Å follow each position.
Space group R3m (No. 160, hexagonal axes)
One atom of each set of equivalent atoms:
Li 0.0000 0.0000 0.0000 (multiplicity 3)  3 P 2.69, 4 Li 2.70-2.85, 4 Pt 2.75
Li 0.0000 0.0000 0.2256 (multiplicity 3)  4 Li 2.70-2.85, 4 P 2.70-2.78, 3 Pt 2.72
P 0.0000 0.0000 0.4396 (multiplicity 3)  3 Pt 2.34
Pt 0.0000 0.0000 0.7822 (multiplicity 3)  3 P 2.34

---

# 3
## ZrIn3As (PBE)

Data for crystalline ZrIn3As at its relaxed geometry.

Formation energy ... 410 kJ/mol of formula units

a = 5.5933 Å, b = 5.5933 Å, c = 5.5933 Å
α = 90.00°, β = 90.00°, γ = 90.00°
Closest atoms and distances in Å follow each position.
Space group Pm-3m (No. 221)
One atom of each set of equivalent atoms:
Zr 0.0000 0.0000 0.0000 (multiplicity 1)  6 In 2.80
In 0.0000 0.0000 0.5000 (multiplicity 3)  2 Zr 2.80
As 0.5000 0.5000 0.5000 (multiplicity 1)  12 In 3.96

---

# 4
## Co2AsAu (PBE)

Data for crystalline Co2AsAu at its relaxed geometry.

Formation energy ... 73 kJ/mol of formula units

a = 2.9866 Å, b = 4.1670 Å, c = 4.5676 Å
α = 90.00°, β = 90.00°, γ = 90.00°
Closest atoms and distances in Å follow each position.
Space group Pmm2 (No. 25)
One atom of each set of equivalent atoms:
Co 0.0000 0.0000 0.0000 (multiplicity 1)  2 Co 2.51, 4 As 2.60, 4 Au 2.70-2.76
Co 0.0000 0.5000 0.3051 (multiplicity 1)  2 As 2.36, 2 Co 2.51
As 0.5000 0.5000 0.9051 (multiplicity 1)  6 Co 2.36-2.60
Au 0.5000 0.0000 0.4929 (multiplicity 1)  8 Co 2.70-2.76, 2 As 2.81, 2 Au 2.99

---

no.,E (eV per atom),calculated volume (Å³/atom)
1,-5.785,14.94
2,-4.560,14.89
3,-3.434,35.00
4,-5.346,14.21